Compound: MgHgSe2
Source: Alexandria
Functional: GGA-PBE
Structure: relaxed

Summary:
Energy relative to the elements, uncorrected   -2.9 eV per formula unit
E_tot   -23.51 eV for the cell shown
M_tot   0.00 μB/cell

Structure (extended XYZ):
```
8
Lattice="4.3456 0.0000 0.0000 0.0000 8.6217 0.0000 -4.3423 0.0000 6.1304" Properties=species:S:1:pos:R:3 pbc="T T T"
Mg 0.0000 1.0570 0.0000
Mg -2.1711 7.5646 3.0652
Hg 2.1503 3.1487 3.0437
Hg -0.0208 5.4730 6.1089
Se 2.1678 0.9716 1.4318
Se -0.0034 7.6501 4.4970
Se -0.0184 3.1872 4.6478
Se 2.1527 5.4345 1.5826
```